AcThBi2 | GGA-PBE | relaxed

```
AcThBi2
1.0
-1.322 -4.467 0.357
3.225 1.237 -3.146
11.390 -2.516 10.687
Th Bi Ac
2 4 2
direct
0.000 0.000 0.000 Th
0.000 0.000 0.500 Th
0.667 0.333 0.615 Bi
0.333 0.667 0.385 Bi
0.333 0.667 0.115 Bi
0.667 0.333 0.885 Bi
0.333 0.667 0.750 Ac
0.667 0.333 0.250 Ac
```

Values from the calculation:
relative energy among the computed polymorphs: 0.025 eV per atom
D(E_F): 5.43 states/eV per cell
space-group type: No. 194